No. 1
Entry from Alexandria: a geometry-optimized Nd2YOsO8 structure (GGA-PBE).

Cell and atoms, written as POSCAR:
```
Nd2YOsO8
1.0
-3.5655 -3.5696 -1.1273
3.7709 -3.2486 -1.3961
0.3426 -2.3974 6.5043
Nd Y Os O
2 1 1 8
Direct
0.5000 0.5002 0.7493
0.5000 0.4998 0.2507
0.0000 0.0000 0.5000
0.0000 0.0000 0.0000
0.1767 0.8222 0.2080
0.7436 0.7452 0.0001
0.8235 0.1777 0.2081
0.8233 0.1778 0.7920
0.2564 0.2548 0.9999
0.1765 0.8223 0.7919
0.6973 0.6983 0.4999
0.3027 0.3017 0.5001
```

Summary:
Spin magnetization (μB per atom): 0.0866
Uncorrected formation energy (eV per atom): -2.43
Total energy (eV per atom): -8.005

=====

No. 2
Entry from Alexandria: a geometry-optimized NdPO3 structure (GGA-PBE).

Cell and atoms, written as POSCAR:
```
NdPO3
1.0
-1.6409 0.5816 4.0622
3.2858 -2.9544 -0.0876
5.5223 6.1016 1.3571
Nd P O
2 2 6
Direct
0.1311 0.1311 0.0000
0.1311 0.1311 0.5000
0.6458 0.4945 0.7500
0.4945 0.6458 0.2500
0.7042 0.3144 0.9074
0.7042 0.3144 0.5926
0.9524 0.8399 0.7500
0.3144 0.7042 0.4074
0.3144 0.7042 0.0926
0.8399 0.9524 0.2500
```

Summary:
Spin magnetization (μB per atom): 0.0000
Uncorrected formation energy (eV per atom): -2.67
Total energy (eV per atom): -7.680

=====

No. 3
Entry from Alexandria: a geometry-optimized Nd3P2O structure (GGA-PBE).

Cell and atoms, written as POSCAR:
```
Nd3P2O
1.0
-0.2491 -1.0060 -5.7022
5.7828 -5.4193 0.7034
-5.3887 -2.3696 3.5987
Nd P O
6 4 2
Direct
0.4576 0.2500 0.0000
0.5424 0.7500 0.0000
0.1540 0.0778 0.3099
0.8441 0.4222 0.6901
0.1559 0.5778 0.3099
0.8460 0.9222 0.6901
0.6721 0.5858 0.3433
0.6712 0.0858 0.3433
0.3288 0.9142 0.6567
0.3279 0.4142 0.6567
0.9522 0.7500 0.0000
0.0478 0.2500 0.0000
```

Summary:
Spin magnetization (μB per atom): 0.0000
Uncorrected formation energy (eV per atom): -1.88
Total energy (eV per atom): -6.892

=====

No. 4
Entry from Alexandria: a geometry-optimized NdP2O6 structure (GGA-PBE).

Cell and atoms, written as POSCAR:
```
NdP2O6
1.0
-4.0817 -2.1110 3.8343
-4.2480 -4.2190 -3.8710
2.7696 -6.0329 2.6007
Nd P O
2 4 12
Direct
0.2500 0.1344 0.8656
0.7500 0.8656 0.1344
0.2544 0.6408 0.7646
0.2456 0.2354 0.3592
0.7456 0.3592 0.2354
0.7544 0.7646 0.6408
0.5112 0.6693 0.6355
0.9888 0.3645 0.3307
0.4888 0.3307 0.3645
0.0112 0.6355 0.6693
0.7965 0.8671 0.4428
0.7035 0.5572 0.1329
0.2035 0.1329 0.5572
0.2965 0.4428 0.8671
0.1425 0.8135 0.9157
0.3575 0.0843 0.1865
0.8575 0.1865 0.0843
0.6425 0.9157 0.8135
```

Summary:
Spin magnetization (μB per atom): 0.0484
Uncorrected formation energy (eV per atom): -2.32
Total energy (eV per atom): -7.353

=====

No. 5
Entry from Alexandria: a geometry-optimized Nd6PO12 structure (GGA-PBE).

Cell and atoms, written as POSCAR:
```
Nd6PO12
1.0
-2.1920 -6.2687 0.2727
3.2167 -0.2977 -5.8086
5.2146 -0.5659 4.0821
Nd P O
6 1 12
Direct
0.6991 0.8569 0.3949
0.6051 0.3009 0.1431
0.1431 0.6051 0.3009
0.3009 0.1431 0.6051
0.3949 0.6991 0.8569
0.8569 0.3949 0.6991
0.0000 0.0000 0.0000
0.8229 0.5556 0.4036
0.4036 0.8229 0.5556
0.5556 0.4036 0.8229
0.1771 0.4444 0.5964
0.5964 0.1771 0.4444
0.4444 0.5964 0.1771
0.0650 0.9780 0.2633
0.0220 0.7367 0.9350
0.7367 0.9350 0.0220
0.9350 0.0220 0.7367
0.9780 0.2633 0.0650
0.2633 0.0650 0.9780
```

Summary:
Spin magnetization (μB per atom): 0.0603
Uncorrected formation energy (eV per atom): -2.96
Total energy (eV per atom): -7.879

=====

No. 6
Entry from Alexandria: a geometry-optimized Nd3PO6 structure (GGA-PBE).

Cell and atoms, written as POSCAR:
```
Nd3PO6
1.0
6.1439 0.0000 0.0000
0.0000 7.3344 -0.0070
0.0000 -1.6435 7.1479
Nd P O
6 2 12
Direct
0.4873 0.9130 0.6919
0.9873 0.6919 0.9130
0.4535 0.4051 0.5949
0.9535 0.5949 0.4051
0.9873 0.0870 0.3081
0.4873 0.3081 0.0870
0.0504 0.1712 0.8288
0.5504 0.8288 0.1712
0.2185 0.6733 0.6540
0.7185 0.6540 0.6733
0.1467 0.3858 0.8942
0.6467 0.8942 0.3858
0.2081 0.0531 0.9469
0.5681 0.2222 0.7778
0.0681 0.7778 0.2222
0.7081 0.9469 0.0531
0.1467 0.1058 0.6142
0.6467 0.6142 0.1058
0.2185 0.3460 0.3267
0.7185 0.3267 0.3460
```

Summary:
Spin magnetization (μB per atom): 0.0000
Uncorrected formation energy (eV per atom): -2.96
Total energy (eV per atom): -7.904